DFT (PBE-GGA) results for Tb3PaPd12 after structural relaxation.

Its crystal system is tetragonal. For the density of states at the Fermi level, the calculation gives 3.79 states/eV/f.u. The value obtained for the calculated total energy is -6.247 eV/atom. For the calculated volume, the calculation gives 17.66 Å³/atom. The density comes out at 11.66 g/cm³. The value obtained for the formation energy is -0.89 eV/atom.

Geometry as POSCAR:
```
Tb3PaPd12
1.0
4.142 0.000 0.000
0.000 4.142 0.000
0.000 0.000 16.471
Tb Pa Pd
3 1 12
direct
0.000 0.000 0.000
0.000 0.000 0.245
0.000 0.000 0.755
0.000 0.000 0.500
0.000 0.500 0.126
0.000 0.500 0.379
0.000 0.500 0.621
0.000 0.500 0.874
0.500 0.000 0.126
0.500 0.000 0.379
0.500 0.000 0.621
0.500 0.000 0.874
0.500 0.500 0.000
0.500 0.500 0.252
0.500 0.500 0.500
0.500 0.500 0.748
```